The following is a DFT calculation (GGA-PBE) of Nd3YTm2Bi6 after structural relaxation.

Output
Mass density: 8.89 Mg/m³
Raw total energy: -63.578 eV per cell
Space group: C2/m, No. 12

Cell lengths 10.1230, 10.1230, 9.0549 Å; angles 102.73, 102.73, 25.88 degrees
With the nearest neighbours (Å) after each atom.
Fractional coordinates of all 12 atoms:
Nd 0.0000 0.0000 0.0000  6 Bi 3.24-3.26
Nd 0.3338 0.3338 0.6670  6 Bi 3.24-3.26
Nd 0.6662 0.6662 0.3330  6 Bi 3.24-3.26
Y 0.0000 0.0000 0.5000  6 Bi 3.17
Tm 0.3331 0.3331 0.1668  6 Bi 3.15
Tm 0.6669 0.6669 0.8332  6 Bi 3.15
Bi 0.1651 0.1651 0.5905  2 Tm 3.15, 1 Y 3.17, 3 Nd 3.24-3.26
Bi 0.1693 0.1693 0.0764  3 Tm 3.15, 3 Nd 3.26
Bi 0.4970 0.4970 0.2539  1 Tm 3.15, 2 Y 3.17, 3 Nd 3.24-3.25
Bi 0.5030 0.5030 0.7461  1 Tm 3.15, 2 Y 3.17, 3 Nd 3.24-3.25
Bi 0.8307 0.8307 0.9236  3 Tm 3.15, 3 Nd 3.26
Bi 0.8349 0.8349 0.4095  2 Tm 3.15, 1 Y 3.17, 3 Nd 3.24-3.26